! CuHPd3, optimized geometry, DFT PBE-GGA; values from VASP
&SYSTEM
  ibrav = 0, nat = 10, ntyp = 3
/
ATOMIC_SPECIES
H 1.01 H.upf
Cu 63.55 Cu.upf
Pd 106.42 Pd.upf
CELL_PARAMETERS angstrom
-3.132 -1.528 2.628
4.198 -0.675 0.987
0.123 6.529 3.943
ATOMIC_POSITIONS crystal
H 0.000 0.000 0.000
H 0.000 0.000 0.500
Cu 0.333 0.667 0.750
Cu 0.667 0.333 0.250
Pd 0.000 0.000 0.250
Pd 0.000 0.000 0.750
Pd 0.333 0.667 0.075
Pd 0.333 0.667 0.425
Pd 0.667 0.333 0.575
Pd 0.667 0.333 0.925
! - crystal system = hexagonal
! - relative energy among the computed polymorphs (meV per atom) = 173
! - size of the total moment (μB per formula unit) = 0.00
! - total DFT energy (no corrections) (Ha/atom) = -0.16589